Density functional theory data (PBE) for crystalline MgCo2Au at its relaxed geometry.

Geometry as POSCAR:
```
MgCo2Au
1.0
-3.423 7.943 -1.072
-5.783 6.401 -1.241
-4.779 7.174 1.283
Au Co Mg
1 2 1
Cartesian
-10.439 16.062 -0.768
-13.867 21.336 -1.021
-3.587 5.520 -0.264
-7.069 10.876 -0.520
```

Calculated values
Total moment, μB per formula unit: 3.4
DFT formation energy, eV per atom: 0.166



Density functional theory data (PBE) for crystalline Mn2CoP at its relaxed geometry.

Geometry as POSCAR:
```
Mn2CoP
1.0
-3.922 0.381 -2.552
-4.678 0.369 0.135
-1.420 3.708 -0.383
Co Mn P
1 2 1
Cartesian
-2.277 1.209 -0.636
-8.594 0.752 -2.416
-7.693 3.270 -2.151
-5.065 2.206 -1.416
```

Calculated values
Total moment, μB per formula unit: 0.1
DFT formation energy, eV per atom: -0.230



Density functional theory data (PBE) for crystalline TbTiF5 at its relaxed geometry.

Geometry as POSCAR:
```
TbTiF5
1.0
5.776 -0.137 -0.080
1.702 5.521 -0.080
2.587 1.862 6.917
Tb Ti F
2 2 10
Cartesian
4.577 2.892 1.649
5.488 4.354 5.108
0.000 0.000 0.000
1.293 0.931 3.458
6.105 4.145 0.749
4.163 4.551 3.142
7.161 5.405 4.207
5.912 1.037 1.649
3.135 3.810 0.157
6.930 3.436 6.600
4.152 6.209 5.108
2.903 1.841 2.550
5.901 2.695 3.615
3.960 3.100 6.008
```

Calculated values
Total moment, μB per formula unit: 2.0
Energy relative to the elements, uncorrected, meV/atom: -3507